CeNd8Bi6: optimized geometry, GGA-PBE.

Values from the calculation:
- Total magnetic moment: 0.1446 μB per atom
- Space group: No. 148
- ΔH_f (0 K): -582.8 meV/atom

Structure (POSCAR):
```
CeNd8Bi6
1.0
-0.881 2.181 -8.154
5.491 -2.899 -5.785
-3.457 -7.108 -5.944
Bi Nd Ce
6 8 1
Direct
0.599 0.933 0.202 Bi
0.401 0.067 0.798 Bi
0.734 0.401 0.798 Bi
0.933 0.266 0.202 Bi
0.067 0.734 0.798 Bi
0.266 0.599 0.202 Bi
0.333 0.333 0.000 Nd
0.667 0.667 0.000 Nd
0.212 0.878 0.367 Nd
0.788 0.122 0.633 Nd
0.456 0.788 0.633 Nd
0.544 0.212 0.367 Nd
0.122 0.456 0.633 Nd
0.878 0.544 0.367 Nd
0.000 0.000 0.000 Ce
```

Ce3NdBi12: optimized geometry, GGA-PBE.

Values from the calculation:
- Total magnetic moment: 0.1084 μB per atom
- Space group: No. 123
- ΔH_f (0 K): -451.7 meV/atom

Structure (POSCAR):
```
Ce3NdBi12
1.0
-2.949 4.068 -0.230
-3.466 -2.654 -2.498
-8.265 -5.039 16.819
Bi Ce Nd
12 3 1
Direct
0.500 0.500 0.000 Bi
0.000 0.500 0.624 Bi
0.000 0.500 0.126 Bi
0.500 0.500 0.250 Bi
0.500 0.000 0.376 Bi
0.000 0.500 0.874 Bi
0.500 0.000 0.126 Bi
0.500 0.000 0.874 Bi
0.000 0.500 0.376 Bi
0.500 0.500 0.750 Bi
0.500 0.000 0.624 Bi
0.500 0.500 0.500 Bi
0.000 0.000 0.500 Ce
0.000 0.000 0.748 Ce
0.000 0.000 0.252 Ce
0.000 0.000 0.000 Nd
```

Ce3NdBi3: optimized geometry, GGA-PBE.

Values from the calculation:
- Total magnetic moment: 0.5758 μB per atom
- Space group: No. 176
- ΔH_f (0 K): -488.0 meV/atom

Structure (POSCAR):
```
Ce3NdBi3
1.0
-3.973 -3.809 -2.017
1.249 -5.319 7.586
-6.478 6.740 0.032
Ce Bi Nd
6 6 2
Direct
0.750 0.223 0.239 Ce
0.250 0.777 0.761 Ce
0.750 0.016 0.777 Ce
0.250 0.239 0.016 Ce
0.750 0.761 0.984 Ce
0.250 0.984 0.223 Ce
0.750 0.444 0.069 Bi
0.250 0.556 0.931 Bi
0.250 0.069 0.625 Bi
0.750 0.931 0.375 Bi
0.250 0.375 0.444 Bi
0.750 0.625 0.556 Bi
0.250 0.667 0.333 Nd
0.750 0.333 0.667 Nd
```

Ce2Nd5Bi4: optimized geometry, GGA-PBE.

Values from the calculation:
- Total magnetic moment: 0.1825 μB per atom
- Space group: No. 12
- ΔH_f (0 K): -153.7 meV/atom

Structure (POSCAR):
```
Ce2Nd5Bi4
1.0
-2.301 1.577 -3.322
1.539 -6.357 -4.083
-10.102 -0.970 9.367
Nd Bi Ce
5 4 2
Direct
0.138 0.231 0.277 Nd
0.829 0.190 0.658 Nd
0.171 0.810 0.342 Nd
0.500 0.000 0.000 Nd
0.862 0.769 0.723 Nd
0.952 0.207 0.903 Bi
0.392 0.529 0.784 Bi
0.608 0.471 0.216 Bi
0.048 0.793 0.097 Bi
0.743 0.596 0.487 Ce
0.257 0.404 0.513 Ce
```